# 1
Compound: AcPrPdRu
Source: Alexandria via LeMat-Bulk
Functional: PBE
Structure: optimized geometry

The value obtained for the formation energy is -1.4 eV per formula unit. Its total moment is 0.0 μB/f.u. For the calculated volume, the calculation gives 394.5 Å³/cell.

The space group is F-43m (No. 216) and the conventional cell measures 7.334, 7.334 and 7.334 Å, with angles of 90.00, 90.00 and 90.00 degrees. The distinct sites, in fractional coordinates, are Ac at (0.000, 0.000, 0.000), Pr at (0.000, 0.000, 0.500), Pd at (0.250, 0.250, 0.750) and Ru at (0.250, 0.250, 0.250).

# 2
Compound: NdSi2Pd2Rh
Source: Alexandria via LeMat-Bulk
Functional: PBE
Structure: optimized geometry

Its uncorrected formation energy is -503 meV per atom. Its total moment is 0.0 μB/f.u. For the calculated volume, the calculation gives 115.3 Å³/cell.

The space group is P4/mmm (No. 123) and the conventional cell measures 4.542, 4.542 and 5.587 Å, with angles of 90.00, 90.00 and 90.00 degrees. The distinct sites, in fractional coordinates, are Nd at (0.000, 0.000, 0.000), Si at (0.000, 0.500, 0.500), Pd at (0.500, 0.500, 0.249) and Rh at (0.000, 0.000, 0.500).

# 3
Compound: CdAg4Sn2
Source: Alexandria via LeMat-Bulk
Functional: PBE
Structure: optimized geometry

The value obtained for the formation energy is 2.7 eV per formula unit. Its total moment is 0.0 μB/f.u. The excess energy over the best structure of this formula in the dataset is 30.8 kJ per mole of atoms. For the calculated volume, the calculation gives 382.3 Å³/cell.

The space group is I4/mmm (No. 139) and the conventional cell measures 5.267, 5.267 and 13.781 Å, with angles of 90.00, 90.00 and 90.00 degrees. The distinct sites, in fractional coordinates, are Cd at (0.000, 0.000, 0.000), Ag at (0.000, 0.000, 0.195), Ag at (0.000, 0.500, 0.000) and Sn at (0.000, 0.000, 0.392).

# 4
Compound: Tb6Ho2TmSc3
Source: Alexandria via LeMat-Bulk
Functional: PBE
Structure: optimized geometry

The value obtained for the formation energy is 0.5 eV per formula unit. Its total moment is 0.0 μB/f.u. For the calculated volume, the calculation gives 710.3 Å³/cell.

The space group is C2/m (No. 12) and the conventional cell measures 6.042, 10.457 and 11.419 Å, with angles of 90.00, 100.13 and 90.00 degrees. The distinct sites, in fractional coordinates, are Tb at (0.247, 0.000, 0.242), Tb at (0.247, 0.333, 0.242), Ho at (0.000, 0.333, 0.500), Tm at (0.000, 0.000, 0.500), Sc at (0.000, 0.167, 0.000) and Sc at (0.000, 0.500, 0.000).

# 5
Compound: LaAg2Pt
Source: Alexandria via LeMat-Bulk
Functional: PBE
Structure: optimized geometry

The value obtained for the formation energy is -1.9 eV per formula unit. Its total moment is 0.0 μB/f.u. The excess energy over the best structure of this formula in the dataset is 5.7 kJ per mole of atoms. For the calculated volume, the calculation gives 272.3 Å³/cell.

The space group is R3m (No. 160, hexagonal axes) and the conventional cell measures 4.7063, 4.7063 and 14.1962 Å, with angles of 90.00, 90.00 and 120.00 degrees. The distinct sites, in fractional coordinates, are La at (0.0000, 0.0000, 0.0000), Ag at (0.0000, 0.0000, 0.5084), Ag at (0.0000, 0.0000, 0.7856) and Pt at (0.0000, 0.0000, 0.2203).

# 6
Compound: VSbTe2Pb
Source: Alexandria via LeMat-Bulk
Functional: PBE
Structure: optimized geometry

Its uncorrected formation energy is 169 meV per atom. Its total moment is 1.4 μB/f.u. The excess energy over the best structure of this formula in the dataset is 0.0 kJ per mole of atoms. For the calculated volume, the calculation gives 148.1 Å³/cell.

The space group is P4/mmm (No. 123) and the conventional cell measures 5.324, 5.324 and 5.224 Å, with angles of 90.00, 90.00 and 90.00 degrees. The distinct sites, in fractional coordinates, are V at (0.000, 0.000, 0.000), Sb at (0.000, 0.000, 0.500), Te at (0.000, 0.500, 0.000) and Pb at (0.500, 0.500, 0.500).

# 7
Compound: BeGeRu3
Source: Alexandria via LeMat-Bulk
Functional: PBE
Structure: optimized geometry

The value obtained for the formation energy is 2.3 eV per formula unit. Its total moment is 1.6 μB/f.u. The excess energy over the best structure of this formula in the dataset is 0.0 kJ per mole of atoms. For the calculated volume, the calculation gives 70.5 Å³/cell.

The space group is Pm-3m (No. 221) and the conventional cell measures 4.131, 4.131 and 4.131 Å, with angles of 90.00, 90.00 and 90.00 degrees. The distinct sites, in fractional coordinates, are Be at (0.000, 0.000, 0.000), Ge at (0.500, 0.500, 0.500) and Ru at (0.000, 0.000, 0.500).

# 8
Compound: Ce3H2Se3
Source: Alexandria via LeMat-Bulk
Functional: PBE
Structure: optimized geometry

The calculation puts the final energy at -5.74 eV/atom. Its total moment is 4.0 μB/f.u. For the calculated volume, the calculation gives 651.6 Å³/cell.

The space group is Cmcm (No. 63) and the conventional cell measures 4.049, 11.021 and 14.604 Å, with angles of 90.00, 90.00 and 90.00 degrees. The distinct sites, in fractional coordinates, are Ce at (0.000, 0.140, 0.054), Ce at (0.000, 0.154, 0.750), H at (0.000, 0.266, 0.584), Se at (0.000, 0.142, 0.250) and Se at (0.000, 0.425, 0.103).

# 9
Compound: Dy5Tm2Th3
Source: Alexandria via LeMat-Bulk
Functional: PBE
Structure: optimized geometry

The value obtained for the formation energy is 0.3 eV per formula unit. Its total moment is 0.0 μB/f.u. For the calculated volume, the calculation gives 629.8 Å³/cell.

The space group is C2/m (No. 12) and the conventional cell measures 11.154, 5.024 and 11.239 Å, with angles of 90.00, 90.63 and 90.00 degrees. The distinct sites, in fractional coordinates, are Dy at (0.000, 0.000, 0.000), Dy at (0.199, 0.000, 0.600), Dy at (0.199, 0.500, 0.101), Tm at (0.098, 0.500, 0.798), Th at (0.000, 0.500, 0.500) and Th at (0.099, 0.000, 0.299).

# 10
Compound: Cr2Te6Pd
Source: Alexandria via LeMat-Bulk
Functional: PBE
Structure: optimized geometry

Its uncorrected formation energy is -220 meV per atom. Its total moment is 5.1 μB/f.u. For the calculated volume, the calculation gives 235.1 Å³/cell.

The space group is P-31m (No. 162) and the conventional cell measures 6.7869, 6.7869 and 5.8923 Å, with angles of 90.00, 90.00 and 120.00 degrees. The distinct sites, in fractional coordinates, are Cr at (0.3333, 0.6667, 0.0000), Te at (0.0000, 0.3382, 0.2532) and Pd at (0.0000, 0.0000, 0.0000).

# 11
Compound: BaMnPtAu2
Source: Alexandria via LeMat-Bulk
Functional: PBE
Structure: optimized geometry

The value obtained for the formation energy is -0.9 eV per formula unit. Its total moment is 4.4 μB/f.u. For the calculated volume, the calculation gives 127.7 Å³/cell.

The space group is P4/mmm (No. 123) and the conventional cell measures 5.072, 5.072 and 4.966 Å, with angles of 90.00, 90.00 and 90.00 degrees. The distinct sites, in fractional coordinates, are Ba at (0.000, 0.000, 0.000), Mn at (0.500, 0.500, 0.500), Pt at (0.500, 0.500, 0.000) and Au at (0.000, 0.500, 0.500).

# 12
Compound: Cs3CrCl6
Source: Alexandria via LeMat-Bulk
Functional: PBE
Structure: optimized geometry

Its uncorrected formation energy is -1656 meV per atom. Its total moment is 3.0 μB/f.u. The excess energy over the best structure of this formula in the dataset is 1.0 kJ per mole of atoms. For the calculated volume, the calculation gives 1424.9 Å³/cell.

The space group is Fm-3m (No. 225) and the conventional cell measures 11.253, 11.253 and 11.253 Å, with angles of 90.00, 90.00 and 90.00 degrees. The distinct sites, in fractional coordinates, are Cs at (0.000, 0.000, 0.000), Cs at (0.250, 0.250, 0.250), Cr at (0.000, 0.000, 0.500) and Cl at (0.000, 0.000, 0.290).

# 13
Compound: La7PmIn4
Source: Alexandria via LeMat-Bulk
Functional: PBE
Structure: optimized geometry

The value obtained for the formation energy is -2.2 eV per formula unit. Its total moment is 0.0 μB/f.u. For the calculated volume, the calculation gives 817.2 Å³/cell.

The space group is C2/m (No. 12) and the conventional cell measures 14.735, 5.976 and 11.226 Å, with angles of 90.00, 124.25 and 90.00 degrees. The distinct sites, in fractional coordinates, are La at (0.000, 0.000, 0.000), La at (0.061, 0.500, 0.380), La at (0.203, 0.500, 0.881), La at (0.209, 0.000, 0.644), Pm at (0.000, 0.500, 0.000), In at (0.058, 0.000, 0.761) and In at (0.184, 0.000, 0.332).

# 14
Compound: BaTa2Br
Source: Alexandria via LeMat-Bulk
Functional: PBE
Structure: optimized geometry

Its uncorrected formation energy is 1058 meV per atom. Its total moment is 0.0 μB/f.u. The excess energy over the best structure of this formula in the dataset is 89.4 kJ per mole of atoms. For the calculated volume, the calculation gives 94.0 Å³/cell.

The space group is P4/mmm (No. 123) and the conventional cell measures 3.135, 3.135 and 9.564 Å, with angles of 90.00, 90.00 and 90.00 degrees. The distinct sites, in fractional coordinates, are Ba at (0.000, 0.000, 0.000), Ta at (0.500, 0.500, 0.314) and Br at (0.000, 0.000, 0.500).

# 15
Compound: Sr3Ge2Pd3
Source: Alexandria via LeMat-Bulk
Functional: PBE
Structure: optimized geometry

The value obtained for the formation energy is -5.8 eV per formula unit. Its total moment is 0.0 μB/f.u. The excess energy over the best structure of this formula in the dataset is 0.0 kJ per mole of atoms. For the calculated volume, the calculation gives 783.5 Å³/cell.

The space group is Pnma (No. 62) and the conventional cell measures 8.129, 15.547 and 6.199 Å, with angles of 90.00, 90.00 and 90.00 degrees. The distinct sites, in fractional coordinates, are Sr at (0.019, 0.106, 0.140), Sr at (0.157, 0.250, 0.614), Ge at (0.140, 0.598, 0.367), Pd at (0.152, 0.038, 0.605) and Pd at (0.190, 0.750, 0.562).

# 16
Compound: Sr3Li5Mg2
Source: Alexandria via LeMat-Bulk
Functional: PBE
Structure: optimized geometry

The value obtained for the formation energy is 0.1 eV per formula unit. Its total moment is 0.0 μB/f.u. For the calculated volume, the calculation gives 635.0 Å³/cell.

The space group is P4/mbm (No. 127) and the conventional cell measures 11.671, 11.671 and 4.662 Å, with angles of 90.00, 90.00 and 90.00 degrees. The distinct sites, in fractional coordinates, are Sr at (0.000, 0.000, 0.000), Sr at (0.183, 0.317, 0.000), Li at (0.000, 0.500, 0.500), Li at (0.066, 0.768, 0.500) and Mg at (0.108, 0.608, 0.000).

# 17
Compound: HfUS2
Source: Alexandria via LeMat-Bulk
Functional: PBE
Structure: optimized geometry

Its uncorrected formation energy is -1291 meV per atom. Its total moment is 2.5 μB/f.u. The excess energy over the best structure of this formula in the dataset is 0.0 kJ per mole of atoms. For the calculated volume, the calculation gives 226.1 Å³/cell.

The space group is R3m (No. 160, hexagonal axes) and the conventional cell measures 3.4860, 3.4860 and 21.4855 Å, with angles of 90.00, 90.00 and 120.00 degrees. The distinct sites, in fractional coordinates, are Hf at (0.0000, 0.0000, 0.0000), U at (0.0000, 0.0000, 0.1698), S at (0.0000, 0.0000, 0.5923) and S at (0.0000, 0.0000, 0.7450).

# 18
Compound: SnSb2Pd8
Source: Alexandria via LeMat-Bulk
Functional: PBE
Structure: optimized geometry

Its uncorrected formation energy is -434 meV per atom. Its total moment is 0.0 μB/f.u. The excess energy over the best structure of this formula in the dataset is 0.7 kJ per mole of atoms. For the calculated volume, the calculation gives 379.9 Å³/cell.

The space group is Cm (No. 8) and the conventional cell measures 7.876, 13.160 and 4.407 Å, with angles of 90.00, 123.73 and 90.00 degrees. The distinct sites, in fractional coordinates, are Sn at (0.000, 0.000, 0.000), Sb at (0.039, 0.343, 0.041), Pd at (0.090, 0.500, 0.579), Pd at (0.241, 0.295, 0.743), Pd at (0.270, 0.157, 0.271), Pd at (0.296, 0.000, 0.790) and Pd at (0.456, 0.374, 0.457).

# 19
Compound: Ho4BTe3
Source: Alexandria via LeMat-Bulk
Functional: PBE
Structure: optimized geometry

Its uncorrected formation energy is -1058 meV per atom. Its total moment is 0.0 μB/f.u. For the calculated volume, the calculation gives 428.2 Å³/cell.

The space group is Cmmm (No. 65) and the conventional cell measures 8.621, 12.059 and 4.118 Å, with angles of 90.00, 90.00 and 90.00 degrees. The distinct sites, in fractional coordinates, are Ho at (0.000, 0.215, 0.000), Ho at (0.206, 0.000, 0.500), B at (0.000, 0.000, 0.000), Te at (0.000, 0.500, 0.000) and Te at (0.250, 0.250, 0.500).

# 20
Compound: RbPuGe2I8
Source: Alexandria via LeMat-Bulk
Functional: PBE
Structure: optimized geometry

Its uncorrected formation energy is -699 meV per atom. Its total moment is 5.0 μB/f.u. For the calculated volume, the calculation gives 569.4 Å³/cell.

The space group is P-1 (No. 2) and the conventional cell measures 7.460, 7.802 and 9.940 Å, with angles of 83.34, 84.20 and 84.27 degrees. The distinct sites, in fractional coordinates, are Rb at (0.000, 0.000, 0.000), Pu at (0.000, 0.000, 0.500), Ge at (0.448, 0.464, 0.241), I at (0.229, 0.321, 0.469), I at (0.259, 0.836, 0.714), I at (0.264, 0.832, 0.280) and I at (0.274, 0.374, 0.036).